# 1
Computed, not measured: an optimized crystal structure of SrBeAl2 at the GGA-PBEsol level of DFT.

Cell: 4.0502 3.7083 11.6392 Å, 90.00 90.00 90.00°
With the nearest neighbours (Å) after each atom.
Space group Amm2 (No. 38)
Unique sites:
Sr  0.0000  0.0000  0.0000 [2 per cell]  3 Al 3.14-3.26, 4 Be 3.18
Be  0.5000  0.0000  0.6381 [2 per cell]  4 Al 2.29-2.52
Al  0.0000  0.0000  0.7302 [2 per cell]  2 Be 2.29
Al  0.5000  0.0000  0.2849 [2 per cell]  2 Be 2.52, 4 Al 2.82

Output
- Spin magnetization: 0.00 μB/cell
- Formation energy: 0.135 eV/atom



# 2
Computed, not measured: an optimized crystal structure of SrBe2Al at the GGA-PBEsol level of DFT.

Cell: 6.5358 6.5358 6.5358 Å, 90.00 90.00 90.00°
With the nearest neighbours (Å) after each atom.
Space group F-43m (No. 216)
Unique sites:
Sr  0.0000  0.0000  0.0000 [4 per cell]  4 Al 2.83, 4 Be 2.83
Be  0.0000  0.0000  0.5000 [4 per cell]  4 Be 2.83, 4 Al 2.83
Be  0.2500  0.2500  0.7500 [4 per cell]  4 Sr 2.83, 4 Be 2.83
Al  0.2500  0.2500  0.2500 [4 per cell]  4 Be 2.83, 4 Sr 2.83

Output
- Spin magnetization: 0.00 μB/cell
- Formation energy: 0.531 eV/atom



# 3
Computed, not measured: an optimized crystal structure of SrBeAl2 at the GGA-PBEsol level of DFT.

Cell: 5.9134 9.5968 2.8895 Å, 90.00 90.00 90.00°
With the nearest neighbours (Å) after each atom.
Space group Cmmm (No. 65)
Unique sites:
Sr  0.0000  0.0000  0.0000 [2 per cell]  2 Sr 2.89, 2 Be 2.96, 8 Al 3.17
Be  0.0000  0.5000  0.0000 [2 per cell]  2 Be 2.89, 2 Sr 2.96, 8 Al 3.17
Al  0.2500  0.2500  0.5000 [4 per cell]  4 Al 2.89-2.96, 4 Be 3.17, 4 Sr 3.17

Output
- Spin magnetization: 0.00 μB/cell
- Formation energy: 0.518 eV/atom



# 4
Computed, not measured: an optimized crystal structure of Ta3BeAl at the GGA-PBEsol level of DFT.

Cell: 4.3608 4.3608 4.3608 Å, 90.00 90.00 90.00°
With the nearest neighbours (Å) after each atom.
Space group Pm-3m (No. 221)
Unique sites:
Ta  0.0000  0.0000  0.5000 [3 per cell]  2 Be 2.18
Be  0.0000  0.0000  0.0000 [1 per cell]  6 Ta 2.18
Al  0.5000  0.5000  0.5000 [1 per cell]  12 Ta 3.08

Output
- Spin magnetization: 0.00 μB/cell
- Formation energy: 0.438 eV/atom